Material: ZrMnAs2Br
Method: DFT, GGA-PBE
State: relaxed

a = 5.225 Å, b = 5.225 Å, c = 5.275 Å
α = 90.00°, β = 90.00°, γ = 90.00°
Each line ends with the local moment (μB).
Fractional coordinates of all 5 atoms:
As1 0.000 0.500 0.000  -0.06
As2 0.500 0.000 0.000  -0.06
Mn1 0.500 0.500 0.500  4.57
Br1 0.000 0.000 0.500  0.03
Zr1 0.000 0.000 0.000  0.06

## Properties
Spin magnetization = 5.00 Bohr magnetons per cell
Density of states at the Fermi level = 3.89 states/eV per cell
V = 144.0 Å³ per cell
Symmetry = No. 123
E = -27.5 eV per cell

***

Material: CdInOs4
Method: DFT, GGA-PBE
State: relaxed

a = 5.269 Å, b = 5.269 Å, c = 5.269 Å
α = 60.00°, β = 60.00°, γ = 60.00°
Each line ends with the local moment (μB).
Fractional coordinates of all 6 atoms:
Cd1 0.250 0.250 0.250  0.00
In1 0.000 0.000 0.000  -0.01
Os1 0.625 0.625 0.125  0.18
Os2 0.625 0.125 0.625  0.18
Os3 0.625 0.625 0.625  0.18
Os4 0.125 0.625 0.625  0.18

## Properties
Spin magnetization = 0.73 Bohr magnetons per cell
Density of states at the Fermi level = 9.46 states/eV per cell
E_form = 714 meV/atom
V = 103.4 Å³ per cell
Symmetry = No. 216

***

Material: KAl2Ni
Method: DFT, GGA-PBE
State: relaxed

a = 6.233 Å, b = 6.233 Å, c = 6.233 Å
α = 154.62°, β = 127.33°, γ = 59.34°
Fractional coordinates of all 4 atoms:
Ni1 0.250 0.750 0.500
K1 0.750 0.250 0.500
Al1 0.061 0.061 0.000
Al2 0.439 0.439 0.000

## Properties
Spin magnetization = 0.00 Bohr magnetons per cell
Density of states at the Fermi level = 1.75 states/eV per cell
E_form = 183 meV/atom
V = 82.0 Å³ per cell
Symmetry = No. 71

***

Material: BiB3Pt9
Method: DFT, GGA-PBE
State: relaxed

a = 4.124 Å, b = 7.728 Å, c = 7.779 Å
α = 120.22°, β = 90.00°, γ = 89.33°
Fractional coordinates of all 13 atoms:
Bi1 0.114 0.000 0.000
B1 0.397 0.947 0.474
B2 0.574 0.490 0.984
B3 0.574 0.490 0.506
Pt1 0.909 0.035 0.517
Pt2 0.372 0.204 0.410
Pt3 0.372 0.204 0.794
Pt4 0.357 0.579 0.789
Pt5 0.051 0.539 0.089
Pt6 0.591 0.348 0.174
Pt7 0.051 0.539 0.450
Pt8 0.569 0.813 0.176
Pt9 0.569 0.813 0.637

## Properties
Spin magnetization = 0.00 Bohr magnetons per cell
Density of states at the Fermi level = 6.92 states/eV per cell
E_form = -123 meV/atom
V = 214.2 Å³ per cell
Symmetry = No. 8

***

Material: MoPd2S2
Method: DFT, GGA-PBE
State: relaxed

a = 6.102 Å, b = 6.102 Å, c = 4.444 Å
α = 90.00°, β = 90.00°, γ = 90.00°
Fractional coordinates of all 10 atoms:
Mo1 0.000 0.000 0.000
Mo2 0.500 0.500 0.000
S1 0.354 0.854 0.000
S2 0.854 0.646 0.000
S3 0.646 0.146 0.000
S4 0.146 0.354 0.000
Pd1 0.278 0.778 0.500
Pd2 0.778 0.722 0.500
Pd3 0.722 0.222 0.500
Pd4 0.222 0.278 0.500

## Properties
Spin magnetization = 0.00 Bohr magnetons per cell
Density of states at the Fermi level = 2.10 states/eV per cell
V = 165.5 Å³ per cell
Symmetry = No. 127
E = -60.9 eV per cell

***

Material: K2NaScRh
Method: DFT, GGA-PBE
State: relaxed

a = 6.950 Å, b = 4.614 Å, c = 6.950 Å
α = 90.00°, β = 90.00°, γ = 90.00°
Fractional coordinates of all 5 atoms:
Sc1 0.000 0.000 0.000
Na1 0.500 0.500 0.500
K1 0.000 0.000 0.500
K2 0.500 0.000 0.000
Rh1 0.000 0.500 0.000

## Properties
Spin magnetization = 0.00 Bohr magnetons per cell
Density of states at the Fermi level = 3.67 states/eV per cell
E_form = 429 meV/atom
V = 222.9 Å³ per cell
Symmetry = No. 123

***

Material: Tm4Tl2AgHg
Method: DFT, GGA-PBE
State: relaxed

a = 5.223 Å, b = 5.223 Å, c = 9.063 Å
α = 73.25°, β = 73.25°, γ = 60.00°
Fractional coordinates of all 8 atoms:
Tm1 0.376 0.376 0.873
Tm2 0.874 0.874 0.377
Tm3 0.126 0.126 0.623
Tm4 0.624 0.624 0.127
Tl1 0.751 0.751 0.746
Tl2 0.249 0.249 0.254
Ag1 0.500 0.500 0.500
Hg1 0.000 0.000 0.000

## Properties
Spin magnetization = 0.00 Bohr magnetons per cell
Density of states at the Fermi level = 6.54 states/eV per cell
E_form = -352 meV/atom
V = 201.9 Å³ per cell
Symmetry = No. 166

***

Material: AgRh2Br
Method: DFT, GGA-PBE
State: relaxed

a = 7.198 Å, b = 7.198 Å, c = 5.801 Å
α = 51.66°, β = 51.66°, γ = 90.00°
Fractional coordinates of all 8 atoms:
Rh1 0.589 0.125 0.250
Rh2 0.161 0.625 0.250
Rh3 0.375 0.411 0.750
Rh4 0.875 0.839 0.750
Br1 0.500 0.500 0.000
Br2 0.250 0.750 0.500
Ag1 0.000 0.000 0.000
Ag2 0.750 0.250 0.500

## Properties
Spin magnetization = 0.00 Bohr magnetons per cell
Density of states at the Fermi level = 8.50 states/eV per cell
V = 144.2 Å³ per cell
Symmetry = No. 122
E = -32.6 eV per cell

***

Material: CsCaH2SeF
Method: DFT, GGA-PBE
State: relaxed

a = 4.171 Å, b = 4.373 Å, c = 7.871 Å
α = 88.49°, β = 74.67°, γ = 89.97°
Fractional coordinates of all 6 atoms:
Cs1 0.689 0.659 0.245
Ca1 0.382 0.177 0.858
H1 0.020 0.821 0.605
H2 0.812 0.170 0.998
Se1 0.034 0.151 0.554
F1 0.344 0.673 0.935

## Properties
Spin magnetization = 0.00 Bohr magnetons per cell
Density of states at the Fermi level = 0.00 states/eV per cell
V = 138.4 Å³ per cell
Symmetry = No. 1
E = -23.2 eV per cell

***

Material: Zn12Tc17
Method: DFT, GGA-PBE
State: relaxed

a = 8.096 Å, b = 8.096 Å, c = 8.096 Å
α = 109.47°, β = 109.47°, γ = 109.47°
Fractional coordinates of all 29 atoms:
Tc1 0.683 0.000 0.411
Tc2 0.411 0.000 0.683
Tc3 0.589 0.272 0.589
Tc4 0.317 0.728 0.317
Tc5 0.000 0.683 0.411
Tc6 0.000 0.411 0.683
Tc7 0.728 0.317 0.317
Tc8 0.272 0.589 0.589
Tc9 0.317 0.317 0.728
Tc10 0.589 0.589 0.272
Tc11 0.683 0.411 0.000
Tc12 0.411 0.683 0.000
Tc13 0.000 0.000 0.629
Tc14 0.629 0.000 0.000
Tc15 0.371 0.371 0.371
Tc16 0.000 0.629 0.000
Tc17 0.000 0.000 0.000
Zn1 0.185 0.000 0.367
Zn2 0.367 0.000 0.185
Zn3 0.633 0.818 0.633
Zn4 0.815 0.182 0.815
Zn5 0.000 0.185 0.367
Zn6 0.000 0.367 0.185
Zn7 0.182 0.815 0.815
Zn8 0.818 0.633 0.633
Zn9 0.815 0.815 0.182
Zn10 0.633 0.633 0.818
Zn11 0.185 0.367 0.000
Zn12 0.367 0.185 0.000

## Properties
Spin magnetization = 0.00 Bohr magnetons per cell
Density of states at the Fermi level = 29.07 states/eV per cell
E_form = 45 meV/atom
V = 408.4 Å³ per cell
Symmetry = No. 217

***

Material: FeTcSb2
Method: DFT, GGA-PBE
State: relaxed

a = 3.172 Å, b = 3.172 Å, c = 7.928 Å
α = 90.00°, β = 90.00°, γ = 90.00°
Each line ends with the local moment (μB).
Fractional coordinates of all 4 atoms:
Fe1 0.500 0.500 0.714  2.06
Sb1 0.000 0.000 0.914  -0.05
Sb2 0.500 0.500 0.327  0.01
Tc1 0.000 0.000 0.544  0.25

## Properties
Spin magnetization = 2.22 Bohr magnetons per cell
Density of states at the Fermi level = 3.50 states/eV per cell
V = 79.7 Å³ per cell
Symmetry = No. 99
E = -26.5 eV per cell

***

Material: CsSb2TeF
Method: DFT, GGA-PBE
State: relaxed

a = 8.147 Å, b = 8.147 Å, c = 7.538 Å
α = 90.00°, β = 90.00°, γ = 90.00°
Each line ends with the local moment (μB).
Fractional coordinates of all 5 atoms:
Cs1 0.000 0.000 0.000  0.04
Sb1 0.000 0.500 0.000  1.05
Sb2 0.500 0.000 0.000  1.05
Te1 0.000 0.000 0.500  0.07
F1 0.500 0.500 0.500  0.41

## Properties
Spin magnetization = 6.48 Bohr magnetons per cell
Density of states at the Fermi level = 27.80 states/eV per cell
V = 500.3 Å³ per cell
Symmetry = No. 123
E = -8.8 eV per cell

***

Material: Rb4TcO5
Method: DFT, GGA-PBE
State: relaxed

a = 5.951 Å, b = 6.689 Å, c = 6.689 Å
α = 78.59°, β = 63.59°, γ = 63.59°
Each line ends with the local moment (μB).
Fractional coordinates of all 10 atoms:
Rb1 0.419 0.405 0.812  0.00
Rb2 0.823 0.812 0.595  0.00
Rb3 0.230 0.188 0.405  0.00
Rb4 0.635 0.595 0.188  0.00
Tc1 0.074 0.000 0.000  0.71
O1 0.922 0.275 0.858  0.05
O2 0.198 0.858 0.725  0.05
O3 0.780 0.142 0.275  0.05
O4 0.055 0.725 0.142  0.05
O5 0.374 0.000 0.000  -0.02

## Properties
Spin magnetization = 1.04 Bohr magnetons per cell
Density of states at the Fermi level = 0.31 states/eV per cell
V = 213.6 Å³ per cell
Symmetry = No. 79
E = -53.9 eV per cell

***

Material: PrMg11Pd
Method: DFT, GGA-PBE
State: relaxed

a = 5.633 Å, b = 7.706 Å, c = 7.783 Å
α = 82.85°, β = 68.78°, γ = 69.89°
Fractional coordinates of all 13 atoms:
Pr1 0.000 0.000 0.000
Mg1 0.300 0.221 0.206
Mg2 0.700 0.779 0.794
Mg3 0.494 0.779 0.206
Mg4 0.506 0.221 0.794
Mg5 0.357 0.639 0.661
Mg6 0.643 0.361 0.339
Mg7 0.982 0.361 0.661
Mg8 0.018 0.639 0.339
Mg9 0.000 0.500 0.000
Mg10 0.500 0.000 0.500
Mg11 0.000 0.000 0.500
Pd1 0.500 0.500 0.000

## Properties
Spin magnetization = 0.00 Bohr magnetons per cell
Density of states at the Fermi level = 5.41 states/eV per cell
E_form = -174 meV/atom
V = 295.7 Å³ per cell
Symmetry = No. 12

***

Material: Ta2Ga2P
Method: DFT, GGA-PBE
State: relaxed

a = 6.545 Å, b = 6.545 Å, c = 4.034 Å
α = 90.00°, β = 90.00°, γ = 90.00°
Fractional coordinates of all 10 atoms:
P1 0.000 0.000 0.000
P2 0.500 0.500 0.000
Ga1 0.140 0.640 0.500
Ga2 0.640 0.860 0.500
Ga3 0.860 0.360 0.500
Ga4 0.360 0.140 0.500
Ta1 0.334 0.834 0.000
Ta2 0.834 0.666 0.000
Ta3 0.666 0.166 0.000
Ta4 0.166 0.334 0.000

## Properties
Spin magnetization = 0.00 Bohr magnetons per cell
Density of states at the Fermi level = 6.11 states/eV per cell
E_form = -220 meV/atom
V = 172.8 Å³ per cell
Symmetry = No. 127

***

Material: YThTaC3
Method: DFT, GGA-PBE
State: relaxed

a = 3.720 Å, b = 7.423 Å, c = 8.386 Å
α = 95.76°, β = 90.00°, γ = 90.00°
Fractional coordinates of all 12 atoms:
Y1 0.250 0.627 0.142
Y2 0.750 0.373 0.858
Th1 0.750 0.838 0.833
Th2 0.250 0.162 0.167
Ta1 0.250 0.116 0.602
Ta2 0.750 0.884 0.398
C1 0.250 0.849 0.506
C2 0.750 0.884 0.153
C3 0.750 0.377 0.135
C4 0.750 0.151 0.494
C5 0.250 0.623 0.865
C6 0.250 0.116 0.847

## Properties
Spin magnetization = 0.00 Bohr magnetons per cell
Density of states at the Fermi level = 0.82 states/eV per cell
E_form = -3 meV/atom
V = 230.4 Å³ per cell
Symmetry = No. 11

***

Material: SiBrF3
Method: DFT, GGA-PBE
State: relaxed

a = 7.419 Å, b = 7.419 Å, c = 6.504 Å
α = 55.23°, β = 55.23°, γ = 60.00°
Fractional coordinates of all 10 atoms:
Si1 0.158 0.158 0.527
Si2 0.842 0.842 0.473
Br1 0.305 0.305 0.085
Br2 0.695 0.695 0.915
F1 0.233 0.233 0.646
F2 0.887 0.233 0.646
F3 0.767 0.113 0.354
F4 0.113 0.767 0.354
F5 0.767 0.767 0.354
F6 0.233 0.887 0.646

## Properties
Spin magnetization = 0.00 Bohr magnetons per cell
Density of states at the Fermi level = 0.00 states/eV per cell
V = 233.3 Å³ per cell
Symmetry = No. 166
E = -50.7 eV per cell

***

Material: Sn2N2O
Method: DFT, GGA-PBE
State: relaxed

a = 6.457 Å, b = 6.457 Å, c = 15.820 Å
α = 90.00°, β = 90.00°, γ = 120.00°
Fractional coordinates of all 40 atoms:
Sn1 0.667 0.333 0.955
Sn2 0.667 0.333 0.332
Sn3 0.500 0.000 0.500
Sn4 0.832 0.168 0.165
Sn5 0.664 0.832 0.835
Sn6 0.168 0.336 0.835
Sn7 0.000 0.000 0.628
Sn8 0.500 0.500 0.500
Sn9 0.000 0.000 0.372
Sn10 0.000 0.000 0.000
Sn11 0.832 0.664 0.165
Sn12 0.336 0.168 0.165
Sn13 0.168 0.832 0.835
Sn14 0.000 0.500 0.500
Sn15 0.333 0.667 0.668
Sn16 0.333 0.667 0.045
N1 0.667 0.333 0.089
N2 0.822 0.178 0.418
N3 0.845 0.155 0.913
N4 0.178 0.357 0.582
N5 0.643 0.822 0.582
N6 0.691 0.845 0.087
N7 0.155 0.309 0.087
N8 0.000 0.000 0.761
N9 0.000 0.000 0.239
N10 0.845 0.691 0.913
N11 0.309 0.155 0.913
N12 0.822 0.643 0.418
N13 0.357 0.178 0.418
N14 0.155 0.845 0.087
N15 0.178 0.822 0.582
N16 0.333 0.667 0.911
O1 0.524 0.476 0.243
O2 0.667 0.333 0.563
O3 0.524 0.047 0.243
O4 0.953 0.476 0.243
O5 0.047 0.524 0.757
O6 0.476 0.953 0.757
O7 0.333 0.667 0.437
O8 0.476 0.524 0.757

## Properties
Spin magnetization = 0.00 Bohr magnetons per cell
V = 571.2 Å³ per cell
Symmetry = No. 164
E = -250.1 eV per cell

***

Material: CdIn2Ag3
Method: DFT, GGA-PBE
State: relaxed

a = 5.234 Å, b = 5.234 Å, c = 20.595 Å
α = 50.81°, β = 50.81°, γ = 90.32°
Fractional coordinates of all 12 atoms:
Cd1 0.581 0.919 0.750
Cd2 0.419 0.081 0.250
In1 0.492 0.168 0.595
In2 0.332 0.008 0.905
In3 0.508 0.832 0.405
In4 0.668 0.992 0.095
Ag1 0.080 0.900 0.571
Ag2 0.600 0.420 0.929
Ag3 0.920 0.100 0.429
Ag4 0.400 0.580 0.071
Ag5 0.193 0.307 0.750
Ag6 0.807 0.693 0.250

## Properties
Spin magnetization = 0.00 Bohr magnetons per cell
Density of states at the Fermi level = 3.31 states/eV per cell
E_form = 16 meV/atom
V = 250.5 Å³ per cell
Symmetry = No. 15

***

Material: YCr2Si
Method: DFT, GGA-PBE
State: relaxed

a = 4.203 Å, b = 4.203 Å, c = 3.797 Å
α = 90.00°, β = 90.00°, γ = 90.00°
Each line ends with the local moment (μB).
Fractional coordinates of all 4 atoms:
Cr1 0.000 0.000 0.000  2.53
Cr2 0.500 0.500 0.000  2.53
Si1 0.500 0.000 0.500  -0.10
Y1 0.000 0.500 0.500  0.01

## Properties
Spin magnetization = 5.29 Bohr magnetons per cell
Density of states at the Fermi level = 3.86 states/eV per cell
V = 67.1 Å³ per cell
Symmetry = No. 123
E = -30.2 eV per cell